[1]
# LiAc3Tb2Se6, relaxed, DFT PBE
# * DOS(E_F): 5.48 states/eV/f.u.
# * total magnetic moment: 0.00 μB/f.u.
# * uncorrected formation energy: -1.78 eV/atom
data_LiAc3Tb2Se6
_chemical_formula_sum 'Li2 Ac6 Tb4 Se12'
_cell_length_a 7.365
_cell_length_b 12.796
_cell_length_c 7.428
_cell_angle_alpha 90.00
_cell_angle_beta 109.41
_cell_angle_gamma 90.00
_symmetry_space_group_name_H-M 'C 1 2/m 1'
_symmetry_Int_Tables_number 12
loop_
_symmetry_equiv_pos_as_xyz
'x,y,z'
'-x,-y,-z'
'-x,y,-z'
'x,-y,z'
'x+1/2,y+1/2,z'
'-x+1/2,-y+1/2,-z'
'-x+1/2,y+1/2,-z'
'x+1/2,-y+1/2,z'
loop_
_atom_site_label
_atom_site_fract_x
_atom_site_fract_y
_atom_site_fract_z
Li1 0.000 0.000 0.000
Ac1 0.000 0.167 0.500
Ac2 0.000 0.500 0.500
Tb1 0.000 0.334 0.000
Se1 0.237 0.164 0.221
Se2 0.247 0.500 0.219


[2]
# Pm3Sm7, relaxed, DFT PBE
# * DOS(E_F): 14.47 states/eV/f.u.
# * total magnetic moment: 0.00 μB/f.u.
# * energy relative to the elements: 0.013 eV/atom
data_Pm3Sm7
_chemical_formula_sum 'Pm6 Sm14'
_cell_length_a 18.547
_cell_length_b 5.132
_cell_length_c 7.267
_cell_angle_alpha 90.00
_cell_angle_beta 101.34
_cell_angle_gamma 90.00
_symmetry_space_group_name_H-M 'C 1 2/m 1'
_symmetry_Int_Tables_number 12
loop_
_symmetry_equiv_pos_as_xyz
'x,y,z'
'-x,-y,-z'
'-x,y,-z'
'x,-y,z'
'x+1/2,y+1/2,z'
'-x+1/2,-y+1/2,-z'
'-x+1/2,y+1/2,-z'
'x+1/2,-y+1/2,z'
loop_
_atom_site_label
_atom_site_fract_x
_atom_site_fract_y
_atom_site_fract_z
Pm1 0.000 0.000 0.000
Pm2 0.200 0.000 0.600
Sm1 0.000 0.000 0.500
Sm2 0.100 0.500 0.300
Sm3 0.100 0.500 0.800
Sm4 0.200 0.000 0.100